(1)
## Tm3PuO7 (GGA-PBE)

Data for an optimized crystal structure of Tm3PuO7.

Lattice parameters (Å, degrees): 6.487 6.487 7.575 90.00 90.00 109.79
Fractional coordinates of all 22 atoms:
Tm 0.000 0.000 0.000
Tm 0.000 0.000 0.500
Tm 0.032 0.505 0.750
Tm 0.495 0.968 0.750
Tm 0.505 0.032 0.250
Tm 0.968 0.495 0.250
Pu 0.500 0.500 0.000
Pu 0.500 0.500 0.500
O 0.133 0.867 0.750
O 0.134 0.866 0.250
O 0.161 0.413 0.030
O 0.161 0.413 0.470
O 0.402 0.598 0.750
O 0.413 0.161 0.530
O 0.413 0.161 0.970
O 0.587 0.839 0.030
O 0.587 0.839 0.470
O 0.598 0.402 0.250
O 0.839 0.587 0.530
O 0.839 0.587 0.970
O 0.866 0.134 0.750
O 0.867 0.133 0.250

Values from the calculation:
* density: 9.55 g/cm³
* space-group type: Cmcm, No. 63
* energy relative to the elements, uncorrected: -3.367 eV per atom
* DOS at the Fermi energy: 13.6 states/eV/cell
* volume: 300.0 Å³/cell

(2)
## Tm3PuO8 (GGA-PBE)

Data for an optimized crystal structure of Tm3PuO8.

Lattice parameters (Å, degrees): 5.929 5.929 6.657 90.00 90.00 120.86
Fractional coordinates of all 12 atoms:
Tm 0.000 0.000 0.000
Tm 0.000 0.500 0.774
Tm 0.500 0.000 0.226
Pu 0.000 0.000 0.500
O 0.192 0.808 0.500
O 0.199 0.255 0.731
O 0.212 0.788 0.000
O 0.255 0.199 0.269
O 0.745 0.801 0.269
O 0.788 0.212 0.000
O 0.801 0.745 0.731
O 0.808 0.192 0.500

Values from the calculation:
* density: 7.26 g/cm³
* space-group type: C222, No. 21
* energy relative to the elements, uncorrected: -3.010 eV per atom
* volume: 200.9 Å³/cell

(3)
## TmPuO (GGA-PBE)

Data for an optimized crystal structure of TmPuO.

Lattice parameters (Å, degrees): 3.402 3.402 6.025 90.00 90.00 120.00
Fractional coordinates of all 3 atoms:
Tm 0.000 0.000 0.000
Pu 0.333 0.667 0.476
O 0.667 0.333 0.209

Values from the calculation:
* density: 11.79 g/cm³
* space-group type: P3m1, No. 156
* energy relative to the elements, uncorrected: -1.574 eV per atom
* DOS at the Fermi energy: 6.6 states/eV/cell
* volume: 60.4 Å³/cell

(4)
## TmPu2O6 (GGA-PBE)

Data for an optimized crystal structure of TmPu2O6.

Lattice parameters (Å, degrees): 3.807 3.807 9.062 90.00 90.00 120.00
Fractional coordinates of all 9 atoms:
Tm 0.000 0.000 0.000
Pu 0.333 0.667 0.669
Pu 0.667 0.333 0.331
O 0.000 0.000 0.260
O 0.000 0.000 0.740
O 0.333 0.667 0.416
O 0.333 0.667 0.908
O 0.667 0.333 0.092
O 0.667 0.333 0.584

Values from the calculation:
* density: 10.99 g/cm³
* space-group type: P-3m1, No. 164
* energy relative to the elements, uncorrected: -3.177 eV per atom
* DOS at the Fermi energy: 7.3 states/eV/cell
* volume: 113.7 Å³/cell

(5)
## Tm3Pu5O12 (GGA-PBE)

Data for an optimized crystal structure of Tm3Pu5O12.

Lattice parameters (Å, degrees): 11.649 11.649 11.649 109.47 109.47 109.47
Fractional coordinates of all 80 atoms:
Tm 0.125 0.250 0.375
Tm 0.125 0.375 0.750
Tm 0.250 0.375 0.125
Tm 0.250 0.875 0.625
Tm 0.375 0.125 0.250
Tm 0.375 0.750 0.125
Tm 0.625 0.250 0.875
Tm 0.625 0.875 0.750
Tm 0.750 0.125 0.375
Tm 0.750 0.625 0.875
Tm 0.875 0.625 0.250
Tm 0.875 0.750 0.625
Pu 0.000 0.000 0.000
Pu 0.000 0.000 0.500
Pu 0.000 0.500 0.000
Pu 0.000 0.500 0.500
Pu 0.125 0.750 0.875
Pu 0.125 0.875 0.250
Pu 0.250 0.125 0.875
Pu 0.250 0.625 0.375
Pu 0.375 0.250 0.625
Pu 0.375 0.625 0.750
Pu 0.500 0.000 0.000
Pu 0.500 0.000 0.500
Pu 0.500 0.500 0.000
Pu 0.500 0.500 0.500
Pu 0.625 0.375 0.250
Pu 0.625 0.750 0.375
Pu 0.750 0.375 0.625
Pu 0.750 0.875 0.125
Pu 0.875 0.125 0.750
Pu 0.875 0.250 0.125
O 0.053 0.226 0.132
O 0.053 0.327 0.921
O 0.079 0.632 0.406
O 0.079 0.947 0.673
O 0.094 0.726 0.673
O 0.094 0.868 0.421
O 0.132 0.053 0.226
O 0.132 0.579 0.906
O 0.173 0.226 0.594
O 0.173 0.447 0.579
O 0.226 0.132 0.053
O 0.226 0.594 0.173
O 0.274 0.327 0.906
O 0.274 0.447 0.368
O 0.327 0.906 0.274
O 0.327 0.921 0.053
O 0.368 0.274 0.447
O 0.368 0.594 0.921
O 0.406 0.079 0.632
O 0.406 0.827 0.774
O 0.421 0.094 0.868
O 0.421 0.827 0.553
O 0.447 0.368 0.274
O 0.447 0.579 0.173
O 0.553 0.421 0.827
O 0.553 0.632 0.726
O 0.579 0.173 0.447
O 0.579 0.906 0.132
O 0.594 0.173 0.226
O 0.594 0.921 0.368
O 0.632 0.406 0.079
O 0.632 0.726 0.553
O 0.673 0.079 0.947
O 0.673 0.094 0.726
O 0.726 0.553 0.632
O 0.726 0.673 0.094
O 0.774 0.406 0.827
O 0.774 0.868 0.947
O 0.827 0.553 0.421
O 0.827 0.774 0.406
O 0.868 0.421 0.094
O 0.868 0.947 0.774
O 0.906 0.132 0.579
O 0.906 0.274 0.327
O 0.921 0.053 0.327
O 0.921 0.368 0.594
O 0.947 0.673 0.079
O 0.947 0.774 0.868

Values from the calculation:
* density: 10.47 g/cm³
* space-group type: Ia-3d, No. 230
* energy relative to the elements, uncorrected: -2.935 eV per atom
* DOS at the Fermi energy: 148.6 states/eV/cell
* volume: 1216.9 Å³/cell

(6)
## Tm4PuO10 (GGA-PBE)

Data for an optimized crystal structure of Tm4PuO10.

Lattice parameters (Å, degrees): 6.443 6.443 6.443 99.71 99.71 131.51
Fractional coordinates of all 15 atoms:
Tm 0.096 0.306 0.402
Tm 0.306 0.904 0.210
Tm 0.694 0.096 0.790
Tm 0.904 0.694 0.598
Pu 0.500 0.500 0.000
O 0.077 0.165 0.714
O 0.165 0.451 0.088
O 0.250 0.750 0.500
O 0.363 0.077 0.912
O 0.451 0.363 0.286
O 0.549 0.637 0.714
O 0.637 0.923 0.088
O 0.750 0.250 0.500
O 0.835 0.549 0.912
O 0.923 0.835 0.286

Values from the calculation:
* density: 9.82 g/cm³
* space-group type: I4/m, No. 87
* energy relative to the elements, uncorrected: -3.068 eV per atom
* DOS at the Fermi energy: 3.2 states/eV/cell
* volume: 182.6 Å³/cell